# PBE with a Hubbard U ScPd2WO, relaxed
data_ScPd2WO
_chemical_formula_sum 'Sc1 Pd2 W1 O1'
_symmetry_space_group_name_H-M 'P 1'
_symmetry_Int_Tables_number 1
_cell_length_a 4.5824
_cell_length_b 4.5824
_cell_length_c 3.9617
_cell_angle_alpha 90.00
_cell_angle_beta 90.00
_cell_angle_gamma 90.00
loop_
_symmetry_equiv_pos_as_xyz
'x,y,z'
loop_
_atom_site_label
_atom_site_fract_x
_atom_site_fract_y
_atom_site_fract_z
Sc1 0.0000 0.0000 0.0000
Pd1 0.0000 0.5000 0.5000
Pd2 0.5000 0.0000 0.5000
W1 0.5000 0.5000 0.0000
O1 0.5000 0.5000 0.5000
# M_tot = 1.81 μB/f.u.
# calculated volume = 83 Å³ per cell
# calculated total energy = -29.902 eV/f.u.